Entry 1:
This record from Alexandria via LeMat-Bulk describes BaAgAuS2 after structural relaxation. The functional is PBE.

Cell: 7.638 7.638 5.597 Å, 90.00 90.00 133.04°
Atoms (fractional coordinates):
Ba 0.250 0.750 0.754
Ba 0.750 0.250 0.246
Ag 0.250 0.250 0.500
Ag 0.750 0.750 0.500
Au 0.000 0.000 0.000
Au 0.500 0.500 0.000
S 0.133 0.867 0.259
S 0.367 0.633 0.259
S 0.633 0.367 0.741
S 0.867 0.133 0.741

Results
E   -41.16 eV per cell
SG   Cmme (67)
ΔE_f (raw)   -855 meV/atom

***

Entry 2:
This record from Alexandria via LeMat-Bulk describes ScVCuRe after structural relaxation. The functional is PBE.

Cell: 6.240 6.240 6.240 Å, 90.00 90.00 90.00°
Atoms (fractional coordinates):
Sc 0.000 0.000 0.000
Sc 0.000 0.500 0.500
Sc 0.500 0.000 0.500
Sc 0.500 0.500 0.000
V 0.000 0.000 0.500
V 0.000 0.500 0.000
V 0.500 0.000 0.000
V 0.500 0.500 0.500
Cu 0.250 0.250 0.250
Cu 0.250 0.750 0.750
Cu 0.750 0.250 0.750
Cu 0.750 0.750 0.250
Re 0.250 0.250 0.750
Re 0.250 0.750 0.250
Re 0.750 0.250 0.250
Re 0.750 0.750 0.750

Results
E   -128.34 eV per cell
SG   F-43m (216)
Energy of formation from the pure elements   -0.02 eV per atom